# 1
NaY2P | PBE | optimized geometry

## Properties
- Electronic total energy: -5.182 eV/atom
- Space-group type: I-42d, No. 122
- Crystal system: tetragonal
- ΔE_f: -25.8 kJ per mole of atoms

Lattice parameters (Å, degrees): 6.7880 6.7880 6.7880 104.70 104.70 119.51
Element x y z (fractional)
Na: 0.0000 0.0000 0.0000
Na: 0.7500 0.2500 0.5000
Y: 0.1909 0.6250 0.0659
Y: 0.3750 0.4409 0.5659
Y: 0.5591 0.1250 0.9341
Y: 0.8750 0.8091 0.4341
P: 0.2500 0.7500 0.5000
P: 0.5000 0.5000 0.0000



# 2
ScNi2Pd2 | PBE | optimized geometry

## Properties
- Electronic total energy: -5.909 eV/atom
- Space-group type: I4/mmm, No. 139
- Crystal system: tetragonal
- Polymorph energy (0 for the lowest one): 0.060 eV per atom
- ΔE_f: -24.4 kJ per mole of atoms

Lattice parameters (Å, degrees): 7.0209 7.0209 7.0209 151.62 151.62 40.57
Element x y z (fractional)
Sc: 0.0000 0.0000 0.0000
Ni: 0.2500 0.7500 0.5000
Ni: 0.7500 0.2500 0.5000
Pd: 0.3967 0.3967 0.0000
Pd: 0.6033 0.6033 0.0000



# 3
Ho3CdRh8 | PBE | optimized geometry

## Properties
- Electronic total energy: -6.725 eV/atom
- Space-group type: R3m, No. 160
- Crystal system: trigonal
- ΔE_f: -58.2 kJ per mole of atoms

Lattice parameters (Å, degrees): 9.2029 9.2029 9.2029 33.42 33.42 33.42
Element x y z (fractional)
Ho: 0.0000 0.0000 0.0000
Ho: 0.1284 0.1284 0.1284
Ho: 0.6199 0.6199 0.6199
Cd: 0.4977 0.4977 0.4977
Rh: 0.0614 0.0614 0.5632
Rh: 0.0615 0.5620 0.5620
Rh: 0.0614 0.5632 0.0614
Rh: 0.3120 0.3120 0.3120
Rh: 0.5620 0.0615 0.5620
Rh: 0.5620 0.5620 0.0615
Rh: 0.5632 0.0614 0.0614
Rh: 0.8120 0.8120 0.8120



# 4
NaSc3H | PBE | optimized geometry

## Properties
- Electronic total energy: -3.164 eV/atom
- Space-group type: Pm-3m, No. 221
- Crystal system: cubic
- Polymorph energy (0 for the lowest one): 1.417 eV per atom

Lattice parameters (Å, degrees): 5.2801 5.2801 5.2801 90.00 90.00 90.00
Element x y z (fractional)
Na: 0.0000 0.0000 0.0000
Sc: 0.0000 0.0000 0.5000
Sc: 0.0000 0.5000 0.0000
Sc: 0.5000 0.0000 0.0000
H: 0.5000 0.5000 0.5000



# 5
CeInH6Rh2 | PBE | optimized geometry

## Properties
- Electronic total energy: -4.686 eV/atom
- Space-group type: R-3m, No. 166
- Crystal system: trigonal

Lattice parameters (Å, degrees): 6.1132 6.1132 6.1132 44.49 44.49 44.49
Element x y z (fractional)
Ce: 0.0000 0.0000 0.0000
In: 0.5000 0.5000 0.5000
H: 0.0418 0.5630 0.5630
H: 0.4370 0.4370 0.9582
H: 0.4370 0.9582 0.4370
H: 0.5630 0.0418 0.5630
H: 0.5630 0.5630 0.0418
H: 0.9582 0.4370 0.4370
Rh: 0.2148 0.2148 0.2148
Rh: 0.7852 0.7852 0.7852



# 6
BaCaRh2 | PBE | optimized geometry

## Properties
- Electronic total energy: -4.460 eV/atom
- Space-group type: I-42d, No. 122
- Crystal system: tetragonal
- Polymorph energy (0 for the lowest one): 0.393 eV per atom
- ΔE_f: 19.0 kJ per mole of atoms

Lattice parameters (Å, degrees): 9.8318 9.8318 9.8318 149.94 149.94 43.03
Element x y z (fractional)
Ba: 0.0000 0.0000 0.0000
Ba: 0.7500 0.2500 0.5000
Ca: 0.2500 0.7500 0.5000
Ca: 0.5000 0.5000 0.0000
Rh: 0.2945 0.6250 0.1695
Rh: 0.3750 0.5445 0.6695
Rh: 0.4555 0.1250 0.8305
Rh: 0.8750 0.7055 0.3305



# 7
NbOsPd2 | PBE | optimized geometry

## Properties
- Electronic total energy: -7.661 eV/atom
- Space-group type: Fm-3m, No. 225
- Crystal system: cubic
- Polymorph energy (0 for the lowest one): 0.447 eV per atom
- ΔE_f: 25.1 kJ per mole of atoms

Lattice parameters (Å, degrees): 4.4779 4.4779 4.4779 60.00 60.00 60.00
Element x y z (fractional)
Nb: 0.0000 0.0000 0.0000
Os: 0.5000 0.5000 0.5000
Pd: 0.2500 0.2500 0.2500
Pd: 0.7500 0.7500 0.7500



# 8
AcLaIrPd | PBE | optimized geometry

## Properties
- Electronic total energy: -6.530 eV/atom
- Space-group type: Amm2, No. 38
- Crystal system: orthorhombic
- Polymorph energy (0 for the lowest one): 0.000 eV per atom
- ΔE_f: -73.1 kJ per mole of atoms

Lattice parameters (Å, degrees): 4.4731 6.0698 6.0698 39.25 90.00 90.00
Element x y z (fractional)
Ac: 0.0000 0.0000 0.0000
La: 0.5000 0.2726 0.2726
Ir: 0.0000 0.7311 0.7311
Pd: 0.5000 0.5559 0.5559



# 9
CsNbI2N | PBE | optimized geometry

## Properties
- Electronic total energy: -4.928 eV/atom
- E_form (uncorrected): -458.3 meV/atom
- Space-group type: P4/mmm, No. 123
- Crystal system: tetragonal
- Polymorph energy (0 for the lowest one): 0.000 eV per atom

Lattice parameters (Å, degrees): 6.1565 6.1565 4.0358 90.00 90.00 90.00
Element x y z (fractional)
Cs: 0.0000 0.0000 0.0000
Nb: 0.5000 0.5000 0.5000
I: 0.0000 0.5000 0.5000
I: 0.5000 0.0000 0.5000
N: 0.5000 0.5000 0.0000



# 10
Ag3TeI2Cl6 | PBE | optimized geometry

## Properties
- Electronic total energy: -2.541 eV/atom
- E_form (uncorrected): -385.1 meV/atom
- Space-group type: C2/m, No. 12
- Crystal system: monoclinic

Lattice parameters (Å, degrees): 8.1600 8.1600 6.2667 93.45 93.45 58.34
Element x y z (fractional)
Ag: 0.0000 0.0000 0.0000
Ag: 0.0000 0.5000 0.5000
Ag: 0.5000 0.0000 0.5000
Te: 0.5000 0.5000 0.5000
I: 0.1788 0.1788 0.2124
I: 0.8212 0.8212 0.7876
Cl: 0.1890 0.6562 0.2627
Cl: 0.3438 0.8110 0.7373
Cl: 0.3538 0.3538 0.7254
Cl: 0.6462 0.6462 0.2746
Cl: 0.6562 0.1890 0.2627
Cl: 0.8110 0.3438 0.7373



# 11
PmAl2Ni | PBE | optimized geometry

## Properties
- Electronic total energy: -5.015 eV/atom
- Space-group type: R-3m, No. 166
- Crystal system: trigonal
- Polymorph energy (0 for the lowest one): 0.092 eV per atom
- ΔE_f: -49.3 kJ per mole of atoms

Lattice parameters (Å, degrees): 5.8600 5.8600 5.8600 41.18 41.18 41.18
Element x y z (fractional)
Pm: 0.0000 0.0000 0.0000
Al: 0.2055 0.2055 0.2055
Al: 0.7945 0.7945 0.7945
Ni: 0.5000 0.5000 0.5000



# 12
La2PmEr5Th | PBE | optimized geometry

## Properties
- Electronic total energy: -4.705 eV/atom
- Space-group type: I4/mcm, No. 140
- Crystal system: tetragonal
- ΔE_f: 26.8 kJ per mole of atoms

Lattice parameters (Å, degrees): 9.9166 9.9166 9.9166 128.11 128.11 76.45
Element x y z (fractional)
La: 0.1167 0.6167 0.7333
La: 0.3833 0.1167 0.5000
La: 0.6167 0.8833 0.5000
La: 0.8833 0.3833 0.2667
Pm: 0.2500 0.7500 0.5000
Pm: 0.7500 0.2500 0.5000
Er: 0.0000 0.0000 0.0000
Er: 0.0744 0.1423 0.5000
Er: 0.1423 0.6423 0.0679
Er: 0.3577 0.4256 0.5000
Er: 0.4256 0.9256 0.0679
Er: 0.5000 0.5000 0.0000
Er: 0.5744 0.0744 0.9321
Er: 0.6423 0.5744 0.5000
Er: 0.8577 0.3577 0.9321
Er: 0.9256 0.8577 0.5000
Th: 0.2500 0.2500 0.0000
Th: 0.7500 0.7500 0.0000



Looking at V for the records above, in order, we have 235.14, 78.04, 210.56, 147.21, 101.99, 237.81, 63.49, 104.27, 152.97, 354.34, 78.79, 586.60 Å³ per cell.